DFT (GGA-PBEsol) results for a relaxed structure of SrAlCl2.

a b c (Å): 5.227 5.227 5.227
angles (deg): 60.00 60.00 60.00
Sites, in units of the cell vectors:
Cl  0.750  0.750  0.750
Al  0.500  0.500  0.500
Cl  0.000  0.000  0.000
Sr  0.250  0.250  0.250

Raw total energy in eV per atom: -3.193
Total magnetic moment in μB per atom: 0.00
Formation energy without anion corrections in eV per formula unit: -2.82
DOS at the Fermi energy in states/eV/cell: 2.610